Entry 1:
The following is a DFT calculation (GGA-PBE) of Mg3TaB after structural relaxation.

Unit cell a=5.437 b=5.437 c=5.437 alpha=90.00 beta=90.00 gamma=90.00
Element x y z (fractional)
1 Mg 0.000 0.000 0.500
2 Mg 0.000 0.500 0.000
3 Mg 0.500 0.000 0.000
4 Ta 0.000 0.000 0.000
5 B 0.500 0.500 0.500

Properties
- raw total energy (eV/atom) = -2.4784
- energy relative to the lowest polymorph listed for this composition (meV per atom) = 1341.6
- formation energy (kJ per mole of atoms) = 211
- SG = Pm-3m, No. 221

=====

Entry 2:
The following is a DFT calculation (GGA-PBE) of SiS2Br after structural relaxation.

Unit cell a=11.708 b=11.708 c=11.708 alpha=15.94 beta=15.94 gamma=15.94
Element x y z (fractional)
1 Si 0.000 0.000 0.000
2 S 0.372 0.372 0.372
3 S 0.628 0.628 0.628
4 Br 0.500 0.500 0.500

Properties
- raw total energy (eV/atom) = -4.1167
- energy relative to the lowest polymorph listed for this composition (meV per atom) = 0.0
- SG = R-3m, No. 166

=====

Entry 3:
The following is a DFT calculation (GGA-PBE) of SrFe3Os after structural relaxation.

Unit cell a=4.522 b=4.522 c=4.522 alpha=90.00 beta=90.00 gamma=90.00
Element x y z (fractional)
1 Sr 0.000 0.000 0.000
2 Fe 0.000 0.000 0.500
3 Fe 0.000 0.500 0.000
4 Fe 0.500 0.000 0.000
5 Os 0.500 0.500 0.500

Properties
- raw total energy (eV/atom) = -4.9410
- energy relative to the lowest polymorph listed for this composition (meV per atom) = 1822.1
- formation energy (kJ per mole of atoms) = 262
- SG = Pm-3m, No. 221

=====

Entry 4:
The following is a DFT calculation (GGA-PBE) of Nb5Re4Rh after structural relaxation.

Unit cell a=3.214 b=3.214 c=15.981 alpha=90.00 beta=90.00 gamma=90.00
Element x y z (fractional)
1 Nb 0.000 0.000 0.000
2 Nb 0.000 0.000 0.200
3 Nb 0.000 0.000 0.398
4 Nb 0.000 0.000 0.602
5 Nb 0.000 0.000 0.800
6 Re 0.500 0.500 0.100
7 Re 0.500 0.500 0.302
8 Re 0.500 0.500 0.698
9 Re 0.500 0.500 0.900
10 Rh 0.500 0.500 0.500

Properties
- raw total energy (eV/atom) = -11.0180
- formation energy (kJ per mole of atoms) = -26
- SG = P4/mmm, No. 123

=====

Entry 5:
The following is a DFT calculation (GGA-PBE) of Ta6Fe5Re after structural relaxation.

Unit cell a=6.906 b=6.906 c=6.193 alpha=90.00 beta=90.00 gamma=142.99
Element x y z (fractional)
1 Ta 0.000 0.000 0.245
2 Ta 0.000 0.000 0.755
3 Ta 0.331 0.669 0.247
4 Ta 0.331 0.669 0.753
5 Ta 0.669 0.331 0.247
6 Ta 0.669 0.331 0.753
7 Fe 0.167 0.833 0.000
8 Fe 0.168 0.832 0.500
9 Fe 0.500 0.500 0.000
10 Fe 0.832 0.168 0.500
11 Fe 0.833 0.167 0.000
12 Re 0.500 0.500 0.500

Properties
- raw total energy (eV/atom) = -10.6715
- formation energy (kJ per mole of atoms) = -18
- SG = Cmmm, No. 65

=====

Entry 6:
The following is a DFT calculation (GGA-PBE) of Pr4AuSe3 after structural relaxation.

Unit cell a=7.485 b=7.485 c=4.234 alpha=90.00 beta=90.00 gamma=109.10
Element x y z (fractional)
1 Pr 0.248 0.752 0.000
2 Pr 0.250 0.250 0.500
3 Pr 0.750 0.750 0.500
4 Pr 0.752 0.248 0.000
5 Au 0.500 0.500 0.000
6 Se 0.000 0.000 0.000
7 Se 0.000 0.500 0.500
8 Se 0.500 0.000 0.500

Properties
- raw total energy (eV/atom) = -5.6807
- SG = Cmmm, No. 65

=====

Entry 7:
The following is a DFT calculation (GGA-PBE) of Ca2AsPd2 after structural relaxation.

Unit cell a=7.047 b=7.047 c=4.320 alpha=90.00 beta=90.00 gamma=90.00
Element x y z (fractional)
1 Ca 0.175 0.325 0.000
2 Ca 0.325 0.825 0.000
3 Ca 0.675 0.175 0.000
4 Ca 0.825 0.675 0.000
5 As 0.000 0.000 0.500
6 As 0.500 0.500 0.500
7 Pd 0.139 0.639 0.500
8 Pd 0.361 0.139 0.500
9 Pd 0.639 0.861 0.500
10 Pd 0.861 0.361 0.500

Properties
- raw total energy (eV/atom) = -4.5074
- energy relative to the lowest polymorph listed for this composition (meV per atom) = 147.2
- formation energy (kJ per mole of atoms) = -68
- SG = P4/mbm, No. 127

=====

Entry 8:
The following is a DFT calculation (GGA-PBE) of CaAcCu2Ni2 after structural relaxation.

Unit cell a=4.178 b=4.178 c=8.061 alpha=90.00 beta=90.00 gamma=120.00
Element x y z (fractional)
1 Ca 0.000 0.000 0.000
2 Ac 0.000 0.000 0.500
3 Cu 0.333 0.667 0.767
4 Cu 0.667 0.333 0.233
5 Ni 0.333 0.667 0.250
6 Ni 0.667 0.333 0.750

Properties
- raw total energy (eV/atom) = -4.4733
- formation energy (kJ per mole of atoms) = -16
- SG = P-3m1, No. 164

=====

Entry 9:
The following is a DFT calculation (GGA-PBE) of PmLuCdGe after structural relaxation.

Unit cell a=5.163 b=5.163 c=5.163 alpha=60.00 beta=60.00 gamma=60.00
Element x y z (fractional)
1 Pm 0.000 0.000 0.000
2 Lu 0.500 0.500 0.500
3 Cd 0.750 0.750 0.750
4 Ge 0.250 0.250 0.250

Properties
- raw total energy (eV/atom) = -4.1451
- formation energy (kJ per mole of atoms) = -43
- SG = F-43m, No. 216

=====

Entry 10:
The following is a DFT calculation (GGA-PBE) of Ti4CuIr5 after structural relaxation.

Unit cell a=3.182 b=3.182 c=14.619 alpha=90.00 beta=90.00 gamma=90.00
Element x y z (fractional)
1 Ti 0.000 0.000 0.103
2 Ti 0.000 0.000 0.313
3 Ti 0.000 0.000 0.687
4 Ti 0.000 0.000 0.897
5 Cu 0.000 0.000 0.500
6 Ir 0.500 0.500 0.000
7 Ir 0.500 0.500 0.203
8 Ir 0.500 0.500 0.403
9 Ir 0.500 0.500 0.597
10 Ir 0.500 0.500 0.797

Properties
- raw total energy (eV/atom) = -8.7061
- formation energy (kJ per mole of atoms) = -68
- SG = P4/mmm, No. 123

=====

Entry 11:
The following is a DFT calculation (GGA-PBE) of ErFe5B3 after structural relaxation.

Unit cell a=5.866 b=5.866 c=10.569 alpha=90.00 beta=90.00 gamma=147.09
Element x y z (fractional)
1 Er 0.164 0.836 0.750
2 Er 0.836 0.164 0.250
3 Fe 0.000 0.000 0.000
4 Fe 0.000 0.000 0.500
5 Fe 0.197 0.803 0.060
6 Fe 0.197 0.803 0.440
7 Fe 0.448 0.552 0.645
8 Fe 0.448 0.552 0.855
9 Fe 0.552 0.448 0.145
10 Fe 0.552 0.448 0.355
11 Fe 0.803 0.197 0.560
12 Fe 0.803 0.197 0.940
13 B 0.130 0.870 0.250
14 B 0.380 0.620 0.048
15 B 0.380 0.620 0.452
16 B 0.620 0.380 0.548
17 B 0.620 0.380 0.952
18 B 0.870 0.130 0.750

Properties
- raw total energy (eV/atom) = -7.6760
- formation energy (kJ per mole of atoms) = -23
- SG = Cmcm, No. 63

=====

Entry 12:
The following is a DFT calculation (GGA-PBE) of La3CdO after structural relaxation.

Unit cell a=8.013 b=8.013 c=8.013 alpha=127.98 beta=127.98 gamma=76.66
Element x y z (fractional)
1 La 0.126 0.126 0.000
2 La 0.359 0.617 0.742
3 La 0.383 0.124 0.742
4 La 0.383 0.641 0.258
5 La 0.874 0.874 0.000
6 La 0.876 0.617 0.258
7 Cd 0.630 0.130 0.500
8 Cd 0.870 0.370 0.500
9 O 0.250 0.750 0.500
10 O 0.500 0.500 0.000

Properties
- raw total energy (eV/atom) = -5.1318
- energy relative to the lowest polymorph listed for this composition (meV per atom) = 306.1
- SG = I-4m2, No. 119

=====

Entry 13:
The following is a DFT calculation (GGA-PBE) of Rb2GeTe after structural relaxation.

Unit cell a=6.123 b=6.123 c=6.123 alpha=60.00 beta=60.00 gamma=60.00
Element x y z (fractional)
1 Rb 0.250 0.250 0.250
2 Rb 0.750 0.750 0.750
3 Ge 0.000 0.000 0.000
4 Te 0.500 0.500 0.500

Properties
- raw total energy (eV/atom) = -2.5129
- energy relative to the lowest polymorph listed for this composition (meV per atom) = 15.3
- SG = Fm-3m, No. 225

=====

Entry 14:
The following is a DFT calculation (GGA-PBE) of ThH6Ru2Pb after structural relaxation.

Unit cell a=6.424 b=6.424 c=5.705 alpha=99.62 beta=99.62 gamma=100.67
Element x y z (fractional)
1 Th 0.151 0.849 0.750
2 Th 0.849 0.151 0.250
3 H 0.043 0.560 0.388
4 H 0.166 0.172 0.567
5 H 0.172 0.166 0.067
6 H 0.277 0.522 0.803
7 H 0.440 0.957 0.112
8 H 0.478 0.723 0.697
9 H 0.522 0.277 0.303
10 H 0.560 0.043 0.888
11 H 0.723 0.478 0.197
12 H 0.828 0.834 0.933
13 H 0.834 0.828 0.433
14 H 0.957 0.440 0.612
15 Ru 0.075 0.323 0.814
16 Ru 0.323 0.075 0.314
17 Ru 0.677 0.925 0.686
18 Ru 0.925 0.677 0.186
19 Pb 0.380 0.620 0.250
20 Pb 0.620 0.380 0.750

Properties
- raw total energy (eV/atom) = -5.0892
- SG = C2/c, No. 15

=====

Entry 15:
The following is a DFT calculation (GGA-PBE) of SrTlRh2 after structural relaxation.

Unit cell a=3.471 b=3.455 c=6.931 alpha=90.00 beta=90.13 gamma=90.00
Element x y z (fractional)
1 Sr 0.000 0.000 0.000
2 Tl 0.000 0.000 0.500
3 Rh 0.499 0.500 0.289
4 Rh 0.501 0.500 0.711

Properties
- raw total energy (eV/atom) = -4.7089
- energy relative to the lowest polymorph listed for this composition (meV per atom) = 140.9
- formation energy (kJ per mole of atoms) = -2
- SG = P2/m, No. 10

=====

Entry 16:
The following is a DFT calculation (GGA-PBE) of La4CoPtI2 after structural relaxation.

Unit cell a=7.388 b=4.217 c=8.583 alpha=90.00 beta=106.58 gamma=90.00
Element x y z (fractional)
1 La 0.215 0.000 0.183
2 La 0.259 0.500 0.815
3 La 0.741 0.500 0.185
4 La 0.785 0.000 0.817
5 Co 0.000 0.500 0.000
6 Pt 0.500 0.000 0.000
7 I 0.000 0.000 0.500
8 I 0.500 0.500 0.500

Properties
- raw total energy (eV/atom) = -5.4506
- SG = P2/m, No. 10

=====

Entry 17:
The following is a DFT calculation (GGA-PBE) of Tl3TcSn after structural relaxation.

Unit cell a=5.348 b=5.348 c=5.348 alpha=90.00 beta=90.00 gamma=90.00
Element x y z (fractional)
1 Tl 0.000 0.000 0.500
2 Tl 0.000 0.500 0.000
3 Tl 0.500 0.000 0.000
4 Tc 0.000 0.000 0.000
5 Sn 0.500 0.500 0.500

Properties
- raw total energy (eV/atom) = -3.6800
- energy relative to the lowest polymorph listed for this composition (meV per atom) = 0.0
- formation energy (kJ per mole of atoms) = 59
- SG = Pm-3m, No. 221

=====

Entry 18:
The following is a DFT calculation (GGA-PBE) of MgSc2AgC after structural relaxation.

Unit cell a=4.534 b=4.534 c=4.363 alpha=90.00 beta=90.00 gamma=90.00
Element x y z (fractional)
1 Mg 0.000 0.000 0.000
2 Sc 0.000 0.500 0.500
3 Sc 0.500 0.000 0.500
4 Ag 0.500 0.500 0.000
5 C 0.000 0.000 0.500

Properties
- raw total energy (eV/atom) = -5.5257
- formation energy (kJ per mole of atoms) = -25
- SG = P4/mmm, No. 123

=====

Entry 19:
The following is a DFT calculation (GGA-PBE) of SrScBi2 after structural relaxation.

Unit cell a=9.605 b=9.605 c=9.605 alpha=140.85 beta=140.85 gamma=56.56
Element x y z (fractional)
1 Sr 0.000 0.000 0.000
2 Sr 0.750 0.250 0.500
3 Sc 0.250 0.750 0.500
4 Sc 0.500 0.500 0.000
5 Bi 0.210 0.625 0.085
6 Bi 0.375 0.460 0.585
7 Bi 0.540 0.125 0.915
8 Bi 0.875 0.790 0.415

Properties
- raw total energy (eV/atom) = -4.2276
- energy relative to the lowest polymorph listed for this composition (meV per atom) = 387.8
- formation energy (kJ per mole of atoms) = -27
- SG = I-42d, No. 122

=====

Entry 20:
The following is a DFT calculation (GGA-PBE) of LaHf2InMo after structural relaxation.

Unit cell a=5.023 b=5.023 c=5.405 alpha=90.00 beta=90.00 gamma=90.00
Element x y z (fractional)
1 La 0.000 0.000 0.000
2 Hf 0.000 0.500 0.500
3 Hf 0.500 0.000 0.500
4 In 0.500 0.500 0.000
5 Mo 0.500 0.500 0.500

Properties
- raw total energy (eV/atom) = -7.3511
- energy relative to the lowest polymorph listed for this composition (meV per atom) = 0.0
- formation energy (kJ per mole of atoms) = 32
- SG = P4/mmm, No. 123

=====

Total magnetic moment values, unit μB/cell, following the record order: 3.56 0.00 9.27 0.00 4.38 0.00 0.00 0.00 0.00 0.00 14.72 0.00 2.00 0.00 0.00 0.00 1.61 0.00 0.00 0.00.